Density functional theory data (PBE) for an optimized crystal structure of PrIn3Pb.

final energy = -3.507 eV/atom
calculated volume = 301 Å³ per cell
energy of formation = -166 meV per atom

a = 5.886 Å, b = 6.280 Å, c = 8.731 Å
α = 68.92°, β = 90.00°, γ = 90.00°
Fractional positions:
In (0.500, 0.000, 0.000)
In (0.750, 0.606, 0.278)
In (0.250, 0.884, 0.722)
In (0.250, 0.394, 0.722)
In (0.750, 0.116, 0.278)
In (0.000, 0.000, 0.000)
Pr (0.250, 0.815, 0.371)
Pr (0.750, 0.185, 0.629)
Pb (0.750, 0.567, 0.866)
Pb (0.250, 0.433, 0.134)

Density functional theory data (PBE) for an optimized crystal structure of Pr6In3Pb.

final energy = -4.354 eV/atom
calculated volume = 649 Å³ per cell
energy of formation = -294 meV per atom

a = 7.027 Å, b = 10.450 Å, c = 10.450 Å
α = 122.25°, β = 90.00°, γ = 90.00°
Fractional positions:
In (0.487, 0.317, 0.095)
In (0.987, 0.095, 0.317)
In (0.987, 0.683, 0.905)
In (0.487, 0.905, 0.683)
In (0.644, 0.587, 0.413)
In (0.144, 0.413, 0.587)
Pr (0.290, 0.707, 0.293)
Pr (0.309, 0.462, 0.909)
Pr (0.554, 0.632, 0.745)
Pr (0.269, 0.979, 0.021)
Pr (0.790, 0.293, 0.707)
Pr (0.809, 0.538, 0.091)
Pr (0.554, 0.255, 0.368)
Pr (0.769, 0.021, 0.979)
Pr (0.309, 0.091, 0.538)
Pr (0.809, 0.909, 0.462)
Pr (0.054, 0.368, 0.255)
Pr (0.054, 0.745, 0.632)
Pb (0.582, 0.849, 0.151)
Pb (0.082, 0.151, 0.849)

Density functional theory data (PBE) for an optimized crystal structure of Pr6InPb5.

final energy = -4.681 eV/atom
calculated volume = 367 Å³ per cell
energy of formation = -518 meV per atom

a = 5.128 Å, b = 9.376 Å, c = 9.376 Å
α = 111.40°, β = 105.90°, γ = 105.90°
Fractional positions:
Pb (0.500, 0.836, 0.164)
Pb (0.500, 0.164, 0.836)
Pb (0.000, 0.334, 0.666)
Pb (0.500, 0.500, 0.500)
Pb (0.000, 0.666, 0.334)
Pr (0.752, 0.918, 0.585)
Pr (0.248, 0.082, 0.415)
Pr (0.747, 0.248, 0.248)
Pr (0.248, 0.415, 0.082)
Pr (0.253, 0.752, 0.752)
Pr (0.752, 0.585, 0.918)
In (0.000, 0.000, 0.000)

Density functional theory data (PBE) for an optimized crystal structure of Pr6In2Pb.

final energy = -4.554 eV/atom
calculated volume = 297 Å³ per cell
energy of formation = -347 meV per atom

a = 4.340 Å, b = 8.884 Å, c = 8.884 Å
α = 120.00°, β = 90.00°, γ = 90.00°
Fractional positions:
Pr (0.000, 0.721, 0.000)
Pr (0.500, 0.395, 0.000)
Pr (0.500, 0.000, 0.395)
Pr (0.000, 0.000, 0.721)
Pr (0.000, 0.279, 0.279)
Pr (0.500, 0.605, 0.605)
Pb (0.500, 0.000, 0.000)
In (0.000, 0.667, 0.333)
In (0.000, 0.333, 0.667)

Density functional theory data (PBE) for an optimized crystal structure of Pr3In2Pb.

final energy = -4.401 eV/atom
calculated volume = 363 Å³ per cell
energy of formation = -481 meV per atom

a = 3.695 Å, b = 5.711 Å, c = 17.181 Å
α = 90.00°, β = 90.00°, γ = 90.00°
Fractional positions:
Pr (0.500, 0.000, 0.500)
Pr (0.501, 0.000, 0.167)
Pr (0.499, 0.500, 0.333)
Pr (0.501, 0.000, 0.833)
Pr (0.500, 0.500, 0.000)
Pr (0.499, 0.500, 0.667)
In (0.000, 0.500, 0.168)
In (0.000, 0.500, 0.832)
In (0.000, 0.000, 0.668)
In (0.000, 0.000, 0.332)
Pb (0.999, 0.500, 0.500)
Pb (0.001, 0.000, 0.000)

Density functional theory data (PBE) for an optimized crystal structure of Pr4In5Pb2.

final energy = -4.053 eV/atom
calculated volume = 322 Å³ per cell
energy of formation = -396 meV per atom

a = 3.596 Å, b = 8.347 Å, c = 10.764 Å
α = 94.53°, β = 90.00°, γ = 90.00°
Fractional positions:
In (0.000, 0.198, 0.160)
In (0.000, 0.802, 0.840)
In (0.000, 0.554, 0.292)
In (0.000, 0.446, 0.708)
In (0.000, 0.500, 0.000)
Pr (0.500, 0.718, 0.560)
Pr (0.500, 0.827, 0.109)
Pr (0.500, 0.282, 0.440)
Pr (0.500, 0.173, 0.891)
Pb (0.000, 0.065, 0.641)
Pb (0.000, 0.935, 0.359)

Density functional theory data (PBE) for an optimized crystal structure of Pr2In9Pb.

final energy = -3.428 eV/atom
calculated volume = 327 Å³ per cell
energy of formation = -269 meV per atom

a = 4.760 Å, b = 4.760 Å, c = 14.430 Å
α = 90.00°, β = 90.00°, γ = 90.00°
Fractional positions:
In (0.000, 0.500, 0.169)
In (0.000, 0.500, 0.831)
In (0.500, 0.000, 0.831)
In (0.500, 0.000, 0.169)
In (0.000, 0.500, 0.500)
In (0.500, 0.500, 0.338)
In (0.500, 0.500, 0.000)
In (0.500, 0.500, 0.662)
In (0.500, 0.000, 0.500)
Pr (0.000, 0.000, 0.664)
Pr (0.000, 0.000, 0.336)
Pb (0.000, 0.000, 0.000)

Density functional theory data (PBE) for an optimized crystal structure of Pr6In5Pb.

final energy = -4.336 eV/atom
calculated volume = 357 Å³ per cell
energy of formation = -497 meV per atom

a = 10.255 Å, b = 5.183 Å, c = 8.211 Å
α = 71.60°, β = 80.83°, γ = 59.66°
Fractional positions:
Pb (0.000, 0.000, 0.000)
Pr (0.251, 0.249, 0.000)
Pr (0.252, 0.914, 0.666)
Pr (0.749, 0.751, 0.000)
Pr (0.748, 0.086, 0.334)
Pr (0.252, 0.581, 0.334)
Pr (0.748, 0.419, 0.666)
In (0.000, 0.671, 0.658)
In (0.500, 0.834, 0.332)
In (0.500, 0.166, 0.668)
In (0.500, 0.500, 0.000)
In (0.000, 0.329, 0.342)

Density functional theory data (PBE) for an optimized crystal structure of Pr4InPb.

final energy = -4.458 eV/atom
calculated volume = 222 Å³ per cell
energy of formation = -198 meV per atom

a = 5.400 Å, b = 7.635 Å, c = 5.393 Å
α = 90.00°, β = 90.00°, γ = 90.00°
Fractional positions:
In (0.000, 0.000, 0.000)
Pb (0.500, 0.500, 0.500)
Pr (0.500, 0.243, 0.000)
Pr (0.500, 0.757, 0.000)
Pr (0.000, 0.757, 0.500)
Pr (0.000, 0.243, 0.500)

Density functional theory data (PBE) for an optimized crystal structure of Pr6InPb10.

final energy = -4.386 eV/atom
calculated volume = 534 Å³ per cell
energy of formation = -357 meV per atom

a = 6.815 Å, b = 9.513 Å, c = 9.513 Å
α = 120.00°, β = 90.00°, γ = 90.00°
Fractional positions:
Pr (0.739, 0.393, 0.393)
Pr (0.739, 0.000, 0.607)
Pr (0.261, 0.393, 0.000)
Pr (0.261, 0.000, 0.393)
Pr (0.261, 0.607, 0.607)
Pr (0.739, 0.607, 0.000)
In (0.500, 0.000, 0.000)
Pb (0.500, 0.333, 0.667)
Pb (0.000, 0.667, 0.333)
Pb (0.807, 0.754, 0.754)
Pb (0.193, 0.000, 0.754)
Pb (0.500, 0.667, 0.333)
Pb (0.807, 0.000, 0.246)
Pb (0.193, 0.754, 0.000)
Pb (0.807, 0.246, 0.000)
Pb (0.193, 0.246, 0.246)
Pb (0.000, 0.333, 0.667)

Density functional theory data (PBE) for an optimized crystal structure of Pr9In2Pb.

final energy = -4.652 eV/atom
calculated volume = 382 Å³ per cell
energy of formation = -302 meV per atom

a = 5.029 Å, b = 5.029 Å, c = 15.087 Å
α = 90.00°, β = 90.00°, γ = 90.00°
Fractional positions:
Pr (0.500, 0.000, 0.168)
Pr (0.000, 0.500, 0.500)
Pr (0.500, 0.500, 0.335)
Pr (0.500, 0.500, 0.665)
Pr (0.500, 0.000, 0.500)
Pr (0.000, 0.500, 0.832)
Pr (0.500, 0.000, 0.832)
Pr (0.000, 0.500, 0.168)
Pr (0.500, 0.500, 0.000)
In (0.000, 0.000, 0.666)
In (0.000, 0.000, 0.334)
Pb (0.000, 0.000, 0.000)

Density functional theory data (PBE) for an optimized crystal structure of PrInPb3.

final energy = -3.956 eV/atom
calculated volume = 149 Å³ per cell
energy of formation = -227 meV per atom

a = 4.465 Å, b = 6.198 Å, c = 6.201 Å
α = 96.74°, β = 111.11°, γ = 68.54°
Fractional positions:
Pb (0.875, 0.557, 0.400)
Pb (0.301, 0.949, 0.643)
Pb (0.686, 0.343, 0.814)
In (0.094, 0.738, 0.021)
Pr (0.497, 0.137, 0.227)

Density functional theory data (PBE) for an optimized crystal structure of Pr2InPb4.

final energy = -4.230 eV/atom
calculated volume = 223 Å³ per cell
energy of formation = -354 meV per atom

a = 6.804 Å, b = 6.804 Å, c = 6.821 Å
α = 120.10°, β = 120.10°, γ = 89.69°
Fractional positions:
In (0.215, 0.785, 0.000)
Pr (0.714, 0.286, 0.500)
Pr (0.214, 0.786, 0.500)
Pb (0.205, 0.280, 0.485)
Pb (0.720, 0.795, 0.515)
Pb (0.709, 0.777, 0.000)
Pb (0.223, 0.291, 0.000)

Density functional theory data (PBE) for an optimized crystal structure of Pr2InPb2.

final energy = -4.398 eV/atom
calculated volume = 156 Å³ per cell
energy of formation = -455 meV per atom

a = 4.570 Å, b = 6.369 Å, c = 6.369 Å
α = 69.50°, β = 68.97°, γ = 68.97°
Fractional positions:
Pb (0.500, 0.289, 0.711)
Pb (0.500, 0.711, 0.289)
Pr (0.780, 0.720, 0.720)
Pr (0.220, 0.280, 0.280)
In (0.000, 0.000, 0.000)

Density functional theory data (PBE) for an optimized crystal structure of Pr3InPb2.

final energy = -4.556 eV/atom
calculated volume = 370 Å³ per cell
energy of formation = -474 meV per atom

a = 6.637 Å, b = 6.496 Å, c = 9.394 Å
α = 101.35°, β = 110.69°, γ = 90.00°
Fractional positions:
In (0.125, 0.250, 0.000)
In (0.875, 0.750, 0.000)
Pr (0.714, 0.899, 0.661)
Pr (0.053, 0.601, 0.339)
Pr (0.286, 0.101, 0.339)
Pr (0.947, 0.399, 0.661)
Pr (0.632, 0.250, 0.000)
Pr (0.368, 0.750, 0.000)
Pb (0.773, 0.066, 0.322)
Pb (0.452, 0.434, 0.678)
Pb (0.227, 0.934, 0.678)
Pb (0.548, 0.566, 0.322)

Density functional theory data (PBE) for an optimized crystal structure of Pr3InPb2.

final energy = -4.563 eV/atom
calculated volume = 771 Å³ per cell
energy of formation = -481 meV per atom

a = 4.808 Å, b = 12.306 Å, c = 13.032 Å
α = 90.00°, β = 90.00°, γ = 90.00°
Fractional positions:
Pr (0.250, 0.376, 0.041)
Pr (0.750, 0.570, 0.634)
Pr (0.750, 0.624, 0.959)
Pr (0.250, 0.430, 0.366)
Pr (0.750, 0.190, 0.293)
Pr (0.250, 0.690, 0.207)
Pr (0.250, 0.070, 0.866)
Pr (0.750, 0.310, 0.793)
Pr (0.750, 0.876, 0.459)
Pr (0.750, 0.930, 0.134)
Pr (0.250, 0.124, 0.541)
Pr (0.250, 0.810, 0.707)
In (0.250, 0.365, 0.641)
In (0.250, 0.135, 0.141)
In (0.750, 0.635, 0.359)
In (0.750, 0.865, 0.859)
Pb (0.750, 0.474, 0.182)
Pb (0.750, 0.180, 0.006)
Pb (0.750, 0.026, 0.682)
Pb (0.750, 0.320, 0.506)
Pb (0.250, 0.974, 0.318)
Pb (0.250, 0.526, 0.818)
Pb (0.250, 0.680, 0.494)
Pb (0.250, 0.820, 0.994)

Density functional theory data (PBE) for an optimized crystal structure of Pr12In5Pb2.

final energy = -4.338 eV/atom
calculated volume = 645 Å³ per cell
energy of formation = -209 meV per atom

a = 7.117 Å, b = 10.131 Å, c = 9.558 Å
α = 89.46°, β = 90.00°, γ = 110.56°
Fractional positions:
In (0.292, 0.583, 0.251)
In (0.235, 0.470, 0.735)
In (0.765, 0.530, 0.265)
In (0.708, 0.417, 0.749)
In (0.000, 0.000, 0.500)
Pr (0.094, 0.697, 0.530)
Pr (0.481, 0.962, 0.309)
Pr (0.916, 0.333, 0.061)
Pr (0.084, 0.667, 0.939)
Pr (0.417, 0.333, 0.061)
Pr (0.068, 0.136, 0.788)
Pr (0.906, 0.303, 0.470)
Pr (0.398, 0.303, 0.470)
Pr (0.519, 0.038, 0.691)
Pr (0.932, 0.864, 0.212)
Pr (0.583, 0.667, 0.939)
Pr (0.602, 0.697, 0.530)
Pb (0.712, 0.000, 0.000)
Pb (0.288, 0.000, 0.000)

Density functional theory data (PBE) for an optimized crystal structure of Pr2InPb9.

final energy = -4.048 eV/atom
calculated volume = 365 Å³ per cell
energy of formation = -242 meV per atom

a = 4.872 Å, b = 4.872 Å, c = 15.394 Å
α = 90.00°, β = 90.00°, γ = 90.00°
Fractional positions:
Pb (0.500, 0.500, 0.328)
Pb (0.500, 0.000, 0.500)
Pb (0.500, 0.500, 0.000)
Pb (0.000, 0.500, 0.500)
Pb (0.000, 0.500, 0.834)
Pb (0.500, 0.000, 0.834)
Pb (0.500, 0.000, 0.166)
Pb (0.000, 0.500, 0.166)
Pb (0.500, 0.500, 0.672)
In (0.000, 0.000, 0.000)
Pr (0.000, 0.000, 0.344)
Pr (0.000, 0.000, 0.656)

Density functional theory data (PBE) for an optimized crystal structure of Pr6InPb.

final energy = -4.705 eV/atom
calculated volume = 255 Å³ per cell
energy of formation = -315 meV per atom

a = 5.034 Å, b = 5.034 Å, c = 10.053 Å
α = 90.00°, β = 90.00°, γ = 90.00°
Fractional positions:
Pr (0.000, 0.500, 0.249)
Pr (0.500, 0.000, 0.751)
Pr (0.000, 0.500, 0.751)
Pr (0.500, 0.000, 0.249)
Pr (0.500, 0.500, 0.000)
Pr (0.500, 0.500, 0.500)
In (0.000, 0.000, 0.000)
Pb (0.000, 0.000, 0.500)

Density functional theory data (PBE) for an optimized crystal structure of PrPuInPb.

final energy = -6.645 eV/atom
calculated volume = 118 Å³ per cell
energy of formation = -256 meV per atom

a = 5.504 Å, b = 5.504 Å, c = 5.504 Å
α = 60.00°, β = 60.00°, γ = 60.00°
Fractional positions:
Pu (0.000, 0.000, 0.000)
In (0.250, 0.250, 0.250)
Pb (0.750, 0.750, 0.750)
Pr (0.500, 0.500, 0.500)